# 1
YErBr2O: relaxed, PBE.

Structure (POSCAR):
```
YErBr2O
1.0
3.6459 0.0000 0.0000
-1.8230 3.1575 0.0000
0.0000 0.0000 10.1377
Y Br O Er
1 2 1 1
Direct
0.3333 0.6667 0.6230
0.0000 0.0000 0.8166
0.3333 0.6667 0.1917
0.6667 0.3333 0.4889
0.0000 0.0000 0.3798
```

Values from the calculation:
As for the space group: P3m1 (156). The calculation puts the total energy at -5.938 eV per atom. The crystal system is trigonal.

=====

# 2
PrErPBr2: relaxed, PBE.

Structure (POSCAR):
```
PrErPBr2
1.0
4.0751 0.0000 0.0000
-2.0375 3.5291 0.0000
0.0000 0.0000 10.6932
Pr Br P Er
1 2 1 1
Direct
0.3333 0.6667 0.8548
0.0000 0.0000 0.6738
0.3333 0.6667 0.3123
0.6667 0.3333 0.0125
0.0000 0.0000 0.1466
```

Values from the calculation:
As for the space group: P3m1 (156). The calculation puts the total energy at -5.369 eV per atom. The crystal system is trigonal.

=====

# 3
PrErSbBr2: relaxed, PBE.

Structure (POSCAR):
```
PrErSbBr2
1.0
-3.3363 2.6661 -0.3816
0.2419 -2.6657 3.3496
5.4468 7.6285 5.6776
Br Pr Sb Er
2 1 1 1
Direct
0.3333 0.6667 0.3262
0.6667 0.3333 0.6866
0.6667 0.3333 0.1607
0.0000 0.0000 0.9884
0.3333 0.6667 0.8380
```

Values from the calculation:
As for the space group: P3m1 (156). The calculation puts the total energy at -4.836 eV per atom. The crystal system is trigonal.

=====

# 4
RbErBr3: relaxed, PBE.

Structure (POSCAR):
```
RbErBr3
1.0
8.0862 0.0000 0.0000
0.0000 7.5484 0.0000
0.0000 0.0000 11.1114
Rb Br Er
4 12 4
Direct
0.4401 0.5224 0.2470
0.9401 0.9776 0.2470
0.5599 0.4776 0.7470
0.0599 0.0224 0.7470
0.9965 0.5437 0.7469
0.5035 0.0437 0.2469
0.7116 0.7062 0.4740
0.2116 0.7938 0.4740
0.7887 0.2062 0.5198
0.2884 0.2938 0.9740
0.2113 0.7938 0.0198
0.0035 0.4563 0.2469
0.2887 0.2938 0.5198
0.7884 0.2062 0.9740
0.4965 0.9563 0.7469
0.7113 0.7062 0.0198
0.5000 0.0000 0.4971
0.0000 0.5000 0.4971
0.5000 0.0000 0.9971
0.0000 0.5000 0.9971
```

Values from the calculation:
As for the space group: Pnma (62). The calculation puts the total energy at -3.636 eV per atom. The crystal system is orthorhombic.

=====

# 5
ErSBr: relaxed, PBE.

Structure (POSCAR):
```
ErSBr
1.0
-0.2158 6.7120 0.8703
-6.8254 -0.1987 -0.1600
-0.0929 -2.0021 6.4468
Er Br S
4 4 4
Direct
0.3219 0.0366 0.2064
0.3219 0.4634 0.7064
0.6781 0.9634 0.7936
0.6781 0.5366 0.2936
0.9201 0.8752 0.2030
0.9201 0.6248 0.7030
0.0799 0.1248 0.7970
0.0799 0.3752 0.2970
0.4449 0.7613 0.4923
0.5551 0.2387 0.5077
0.4449 0.7387 0.9923
0.5551 0.2613 0.0077
```

Values from the calculation:
As for the space group: P2_1/c (14). The calculation puts the total energy at -5.409 eV per atom. The crystal system is monoclinic.

=====

# 6
ErScS2Br2: relaxed, PBE.

Structure (POSCAR):
```
ErScS2Br2
1.0
-3.3827 -1.6145 1.0580
2.4696 -2.7779 3.6570
-1.2993 6.5652 5.8645
Br Er Sc S
2 1 1 2
Direct
0.0000 0.5000 0.3322
0.5000 0.0000 0.6515
0.0000 0.0000 0.8758
0.5000 0.5000 0.1236
0.5000 0.0000 0.0863
0.0000 0.5000 0.9307
```

Values from the calculation:
As for the space group: Pmm2 (25). The calculation puts the total energy at -5.665 eV per atom. The crystal system is orthorhombic.

=====

# 7
SmErS2Br2: relaxed, PBE.

Structure (POSCAR):
```
SmErS2Br2
1.0
-0.6592 -3.1419 -2.5716
-2.3745 -2.7455 3.9630
-8.1264 3.6311 -2.3534
S Br Sm Er
2 2 1 1
Direct
0.0000 0.5000 0.9231
0.5000 0.0000 0.0644
0.5000 0.0000 0.6619
0.0000 0.5000 0.3500
0.5000 0.5000 0.1299
0.0000 0.0000 0.8708
```

Values from the calculation:
As for the space group: Pmm2 (25). The calculation puts the total energy at -5.480 eV per atom. The crystal system is orthorhombic.

=====

# 8
SmErSbBr2: relaxed, PBE.

Structure (POSCAR):
```
SmErSbBr2
1.0
-1.5628 -3.9390 0.3199
4.2018 0.6318 0.0780
-0.3541 1.0190 10.8180
Er Sb Br Sm
1 1 2 1
Direct
0.0000 0.0000 0.8387
0.6667 0.3333 0.9930
0.3333 0.6667 0.6842
0.0000 0.0000 0.3234
0.3333 0.6667 0.1607
```

Values from the calculation:
As for the space group: P3m1 (156). The calculation puts the total energy at -4.815 eV per atom. The crystal system is trigonal.

=====

# 9
TbErSbBr2: relaxed, PBE.

Structure (POSCAR):
```
TbErSbBr2
1.0
-3.4959 0.1237 2.3439
0.1079 -2.3420 -3.4976
3.5465 -8.3980 5.7328
Er Sb Tb Br
1 1 1 2
Direct
0.0000 0.0000 0.8395
0.6667 0.3333 0.9969
0.3333 0.6667 0.1603
0.3333 0.6667 0.6826
0.0000 0.0000 0.3205
```

Values from the calculation:
As for the space group: P3m1 (156). The calculation puts the total energy at -4.780 eV per atom. The crystal system is trigonal.

=====

# 10
ErTmSbBr2: relaxed, PBE.

Structure (POSCAR):
```
ErTmSbBr2
1.0
-3.7670 -0.3033 1.7777
2.9724 -2.7868 0.9173
3.3087 6.1842 8.0662
Tm Br Sb Er
1 2 1 1
Direct
0.6667 0.3333 0.1599
0.6667 0.3333 0.6810
0.3333 0.6667 0.3178
0.0000 0.0000 0.0010
0.3333 0.6667 0.8402
```

Values from the calculation:
As for the space group: P3m1 (156). The calculation puts the total energy at -4.706 eV per atom. The crystal system is trigonal.

=====

# 11
YErSbBr2: relaxed, PBE.

Structure (POSCAR):
```
YErSbBr2
1.0
-0.3109 3.2708 2.6227
-2.8690 -0.5502 -3.0232
-5.9390 -5.9525 6.7194
Br Y Sb Er
2 1 1 1
Direct
0.0000 0.0000 0.3197
0.3333 0.6667 0.6827
0.3333 0.6667 0.1601
0.6667 0.3333 0.9977
0.0000 0.0000 0.8398
```

Values from the calculation:
As for the space group: P3m1 (156). The calculation puts the total energy at -5.151 eV per atom. The crystal system is trigonal.

=====

# 12
ErSe2Br2: relaxed, PBE.

Structure (POSCAR):
```
ErSe2Br2
1.0
-7.5651 0.2179 -1.5568
5.3802 -1.9397 -5.1953
-0.0602 -6.3732 3.5650
Se Br Er
4 4 2
Direct
0.7575 0.7575 0.0424
0.9623 0.9623 0.7338
0.0377 0.0377 0.2662
0.2425 0.2425 0.9576
0.4326 0.9074 0.7441
0.0926 0.5674 0.2559
0.5674 0.0926 0.2559
0.9074 0.4326 0.7441
0.8296 0.1704 0.0000
0.1704 0.8296 0.0000
```

Values from the calculation:
As for the space group: C2/m (12). The calculation puts the total energy at -4.244 eV per atom. The crystal system is monoclinic.

=====

Repeat the seventh record exactly.
SmErS2Br2: relaxed, PBE.

Structure (POSCAR):
```
SmErS2Br2
1.0
-0.6592 -3.1419 -2.5716
-2.3745 -2.7455 3.9630
-8.1264 3.6311 -2.3534
S Br Sm Er
2 2 1 1
Direct
0.0000 0.5000 0.9231
0.5000 0.0000 0.0644
0.5000 0.0000 0.6619
0.0000 0.5000 0.3500
0.5000 0.5000 0.1299
0.0000 0.0000 0.8708
```

Values from the calculation:
As for the space group: Pmm2 (25). The calculation puts the total energy at -5.480 eV per atom. The crystal system is orthorhombic.